1.
Entry from Alexandria via LeMat-Bulk: crystalline VSe3N at its relaxed geometry (PBE-GGA).

a b c (Å): 4.8168 4.8168 4.8168
angles (deg): 90.00 90.00 90.00
Fractional coordinates of all 5 atoms:
V 0.0000 0.0000 0.0000
Se 0.0000 0.0000 0.5000
Se 0.0000 0.5000 0.0000
Se 0.5000 0.0000 0.0000
N 0.5000 0.5000 0.5000



2.
Entry from Alexandria via LeMat-Bulk: crystalline VSe3N at its relaxed geometry (PBE-GGA).

a b c (Å): 4.3756 4.3756 4.3756
angles (deg): 90.00 90.00 90.00
Fractional coordinates of all 5 atoms:
V 0.0000 0.0000 0.0000
Se 0.0000 0.5000 0.5000
Se 0.5000 0.0000 0.5000
Se 0.5000 0.5000 0.0000
N 0.5000 0.5000 0.5000



Taking the most stable structure as the zero point, the relative energies in meV/atom are 1 146; 2 0.